Material: Y3Ho5Tl
Method: DFT, PBE-GGA
State: relaxed

Cell lengths 9.430, 9.430, 9.430 Å; angles 121.12, 121.12, 88.07 degrees
Positions (direct):
1 Y 0.115 0.615 0.730
2 Y 0.250 0.250 0.000
3 Y 0.385 0.115 0.500
4 Y 0.615 0.885 0.500
5 Y 0.750 0.750 0.000
6 Y 0.885 0.385 0.270
7 Ho 0.000 0.000 0.000
8 Ho 0.056 0.175 0.500
9 Ho 0.175 0.675 0.119
10 Ho 0.325 0.444 0.500
11 Ho 0.444 0.944 0.119
12 Ho 0.500 0.500 0.000
13 Ho 0.556 0.056 0.881
14 Ho 0.675 0.556 0.500
15 Ho 0.825 0.325 0.881
16 Ho 0.944 0.825 0.500
17 Tl 0.250 0.750 0.500
18 Tl 0.750 0.250 0.500

Magnetic moment ... 0.0 μB per cell
Crystal system ... tetragonal
Calculated formation energy ... 0.21 eV per atom
V ... 32.36 Å³/atom
Density ... 7.39 g/cm³


Material: Dy4Y2Tm
Method: DFT, PBE-GGA
State: relaxed

Cell lengths 6.224, 6.480, 11.431 Å; angles 90.00, 105.45, 90.00 degrees
Positions (direct):
1 Dy 0.039 0.250 0.365
2 Dy 0.141 0.250 0.948
3 Dy 0.342 0.505 0.214
4 Dy 0.342 0.995 0.214
5 Dy 0.658 0.005 0.786
6 Dy 0.658 0.495 0.786
7 Dy 0.859 0.750 0.052
8 Dy 0.961 0.750 0.635
9 Y 0.296 0.750 0.923
10 Y 0.386 0.750 0.505
11 Y 0.614 0.250 0.495
12 Y 0.704 0.250 0.077
13 Tm 0.164 0.250 0.665
14 Tm 0.836 0.750 0.335

Magnetic moment ... 0.0 μB per cell
Crystal system ... monoclinic
Calculated formation energy ... 0.13 eV per atom
E above lowest polymorph ... 127 meV per atom
V ... 31.74 Å³/atom
Density ... 7.45 g/cm³


Material: ZrCrS3
Method: DFT, PBE-GGA
State: relaxed

Cell lengths 4.957, 4.957, 4.957 Å; angles 90.00, 90.00, 90.00 degrees
Positions (direct):
1 Zr 0.000 0.000 0.000
2 Cr 0.500 0.500 0.500
3 S 0.000 0.000 0.500
4 S 0.000 0.500 0.000
5 S 0.500 0.000 0.000

Magnetic moment ... 4.0 μB per cell
Uncorrected formation energy ... -0.2947 eV per atom
Crystal system ... cubic
E above lowest polymorph ... 713 meV per atom
V ... 24.36 Å³/atom
Density ... 3.26 g/cm³


Material: Tb2SmAgN
Method: DFT, PBE-GGA
State: relaxed

Cell lengths 4.802, 4.802, 4.970 Å; angles 90.00, 90.00, 90.00 degrees
Positions (direct):
1 Tb 0.000 0.500 0.000
2 Tb 0.500 0.000 0.000
3 Sm 0.000 0.000 0.500
4 Ag 0.500 0.500 0.500
5 N 0.000 0.000 0.000

Magnetic moment ... 0.0 μB per cell
Uncorrected formation energy ... -0.6954 eV per atom
Crystal system ... tetragonal
V ... 22.92 Å³/atom
Density ... 8.55 g/cm³


Material: CdInS2
Method: DFT, PBE-GGA
State: relaxed

Cell lengths 7.370, 7.370, 7.370 Å; angles 34.34, 34.34, 34.34 degrees
Positions (direct):
1 Cd 0.000 0.000 0.000
2 In 0.501 0.501 0.501
3 S 0.126 0.126 0.126
4 S 0.629 0.629 0.629

Magnetic moment ... 0.0 μB per cell
Uncorrected formation energy ... -0.4214 eV per atom
Crystal system ... trigonal
V ... 28.41 Å³/atom
Density ... 4.26 g/cm³


Material: Y2ScO
Method: DFT, PBE-GGA
State: relaxed

Cell lengths 3.131, 3.131, 8.491 Å; angles 90.00, 90.00, 90.00 degrees
Positions (direct):
1 Y 0.000 0.000 0.181
2 Y 0.000 0.000 0.819
3 Sc 0.500 0.500 0.500
4 O 0.500 0.500 0.000

Magnetic moment ... 0.0 μB per cell
Uncorrected formation energy ... -0.8665 eV per atom
Crystal system ... tetragonal
V ... 20.81 Å³/atom
Density ... 4.76 g/cm³